# 1
Compound: Tb5YTh2
Source: the Alexandria database
Functional: PBE-GGA
Structure: relaxed

a = 3.5317 Å, b = 11.1897 Å, c = 13.2344 Å
α = 90.00°, β = 90.00°, γ = 90.00°
Space group Immm (No. 71)
Asymmetric unit:
Tb1 0.0000 0.0000 0.0000 x2
Tb2 0.0000 0.2655 0.3695 x8
Y1 0.0000 0.5000 0.0000 x2
Th1 0.0000 0.0000 0.2574 x4

Properties
ΔH_f (0 K) = 95 meV per atom
Calculated density = 8.6 g/cm³
Calculated volume = 523 Å³ per cell



# 2
Compound: Ac2MgReO6
Source: the Alexandria database
Functional: PBE-GGA
Structure: relaxed

a = 5.7062 Å, b = 5.7371 Å, c = 5.7420 Å
α = 60.72°, β = 60.31°, γ = 60.28°
Space group P-1 (No. 2)
Asymmetric unit:
Ac1 0.2499 0.2434 0.2569 x2
Mg1 0.5000 0.5000 0.5000 x1
Re1 0.0000 0.0000 0.0000 x1
O1 0.2047 0.7916 0.2914 x2
O2 0.2474 0.6786 0.8268 x2
O3 0.2912 0.2048 0.7124 x2

Properties
DFT total energy = -7.861 eV/atom
Calculated density = 9.4 g/cm³
Calculated volume = 134 Å³ per cell



# 3
Compound: TiZn6Pd12
Source: the Alexandria database
Functional: PBE-GGA
Structure: relaxed

a = 12.0136 Å, b = 12.0136 Å, c = 6.8904 Å
α = 90.00°, β = 90.00°, γ = 120.00°
Space group R-3 (No. 148, hexagonal axes)
Asymmetric unit:
Ti1 0.0000 0.0000 0.0000 x3
Zn1 0.0159 0.1508 0.6716 x18
Pd1 0.0317 0.2677 0.3446 x18
Pd2 0.0763 0.5660 0.6646 x18

Properties
ΔH_f (0 K) = -368 meV per atom
Calculated density = 9.9 g/cm³
Calculated volume = 861 Å³ per cell



# 4
Compound: Zr2PdC
Source: the Alexandria database
Functional: PBE-GGA
Structure: relaxed

a = 3.4416 Å, b = 22.2502 Å, c = 3.4898 Å
α = 90.00°, β = 90.00°, γ = 90.00°
Space group Cmcm (No. 63)
Asymmetric unit:
Zr1 0.0000 0.0975 0.2500 x4
Zr2 0.0000 0.2994 0.2500 x4
Pd1 0.0000 0.4529 0.2500 x4
C1 0.0000 0.1974 0.2500 x4

Properties
ΔH_f (0 K) = -675 meV per atom
Calculated density = 7.5 g/cm³
Calculated volume = 267 Å³ per cell



# 5
Compound: PmPuGa4
Source: the Alexandria database
Functional: PBE-GGA
Structure: relaxed

a = 7.8802 Å, b = 7.8802 Å, c = 7.8802 Å
α = 90.00°, β = 90.00°, γ = 90.00°
Space group F-43m (No. 216)
Asymmetric unit:
Pm1 0.0000 0.0000 0.0000 x4
Pu1 0.2500 0.2500 0.7500 x4
Ga1 0.1246 0.1246 0.3754 x16

Properties
ΔH_f (0 K) = -448 meV per atom
Calculated density = 9.1 g/cm³
Calculated volume = 489 Å³ per cell



# 6
Compound: CaMgSiPt2
Source: the Alexandria database
Functional: PBE-GGA
Structure: relaxed

a = 4.7994 Å, b = 4.7994 Å, c = 4.7455 Å
α = 90.00°, β = 90.00°, γ = 90.00°
Space group P4/mmm (No. 123)
Asymmetric unit:
Ca1 0.0000 0.0000 0.0000 x1
Mg1 0.5000 0.5000 0.5000 x1
Si1 0.5000 0.5000 0.0000 x1
Pt1 0.0000 0.5000 0.5000 x2

Properties
DFT total energy = -4.053 eV/atom
Calculated density = 7.3 g/cm³
Calculated volume = 109 Å³ per cell



# 7
Compound: CuAg3O4
Source: the Alexandria database
Functional: PBE-GGA
Structure: relaxed

a = 6.8587 Å, b = 5.9709 Å, c = 5.8073 Å
α = 90.00°, β = 90.00°, γ = 90.00°
Space group Pmn2_1 (No. 31)
Asymmetric unit:
Cu1 0.0000 0.1172 0.0000 x2
Ag1 0.0000 0.7519 0.5679 x2
Ag2 0.2168 0.3505 0.5660 x4
O1 0.0000 0.1027 0.6475 x2
O2 0.0000 0.8155 0.0579 x2
O3 0.2067 0.3052 0.0808 x4

Properties
DFT total energy = -4.084 eV/atom
Calculated density = 6.3 g/cm³
Calculated volume = 238 Å³ per cell



# 8
Compound: Rb3CuPt
Source: the Alexandria database
Functional: PBE-GGA
Structure: relaxed

a = 6.1320 Å, b = 6.1320 Å, c = 6.1320 Å
α = 90.00°, β = 90.00°, γ = 90.00°
Space group Pm-3m (No. 221)
Asymmetric unit:
Rb1 0.0000 0.0000 0.5000 x3
Cu1 0.0000 0.0000 0.0000 x1
Pt1 0.5000 0.5000 0.5000 x1

Properties
ΔH_f (0 K) = 526 meV per atom
Calculated density = 3.7 g/cm³
Calculated volume = 231 Å³ per cell



# 9
Compound: Mg2CdAsPt
Source: the Alexandria database
Functional: PBE-GGA
Structure: relaxed

a = 4.8624 Å, b = 4.8624 Å, c = 5.0811 Å
α = 90.00°, β = 90.00°, γ = 90.00°
Space group P4/mmm (No. 123)
Asymmetric unit:
Mg1 0.0000 0.5000 0.0000 x2
Cd1 0.0000 0.0000 0.5000 x1
As1 0.0000 0.0000 0.0000 x1
Pt1 0.5000 0.5000 0.5000 x1

Properties
ΔH_f (0 K) = 214 meV per atom
Calculated density = 6.0 g/cm³
Calculated volume = 120 Å³ per cell



# 10
Compound: Ac2PmSb3Rh6
Source: the Alexandria database
Functional: PBE-GGA
Structure: relaxed

a = 4.1852 Å, b = 4.1852 Å, c = 17.2730 Å
α = 90.00°, β = 90.00°, γ = 90.00°
Space group P4/mmm (No. 123)
Asymmetric unit:
Ac1 0.0000 0.0000 0.1597 x2
Pm1 0.0000 0.0000 0.5000 x1
Sb1 0.5000 0.5000 0.0000 x1
Sb2 0.5000 0.5000 0.2965 x2
Rh1 0.0000 0.5000 0.3809 x4
Rh2 0.5000 0.5000 0.1473 x2

Properties
DFT total energy = -6.292 eV/atom
Calculated density = 8.7 g/cm³
Calculated volume = 303 Å³ per cell



# 11
Compound: CeErTi2
Source: the Alexandria database
Functional: PBE-GGA
Structure: relaxed

a = 3.6720 Å, b = 3.6720 Å, c = 6.7418 Å
α = 90.00°, β = 90.00°, γ = 90.00°
Space group P4/mmm (No. 123)
Asymmetric unit:
Ce1 0.0000 0.0000 0.0000 x1
Er1 0.0000 0.0000 0.5000 x1
Ti1 0.5000 0.5000 0.2053 x2

Properties
ΔH_f (0 K) = 193 meV per atom
Calculated density = 7.4 g/cm³
Calculated volume = 91 Å³ per cell